Below is a geometry-optimized ErMgTiCd structure, with properties calculated at the PBE level.

Output
spin magnetization: 1.57 μB per formula unit
energy relative to the elements: 48 meV per atom
final energy: -3.6939 eV/atom
mass density: 6.5 g/cm³

```
data_ErMgTiCd
_chemical_formula_sum 'Er4 Mg4 Ti4 Cd4'
_cell_length_a 7.114
_cell_length_b 7.114
_cell_length_c 7.114
_cell_angle_alpha 90.00
_cell_angle_beta 90.00
_cell_angle_gamma 90.00
_space_group_name_H-M_alt 'F -4 3 m'
_space_group_IT_number 216
_space_group_name_Hall 'F -4 2 3'
loop_
_atom_site_label
_atom_site_type_symbol
_atom_site_fract_x
_atom_site_fract_y
_atom_site_fract_z
Er1 Er 0.000 0.000 0.000
Mg1 Mg 0.250 0.250 0.750
Ti1 Ti 0.000 0.000 0.500
Cd1 Cd 0.250 0.250 0.250
```